VASP calculation (GGA-PBE) on KTa2 after structural relaxation.

a = 9.0917 Å, b = 9.0917 Å, c = 6.7069 Å
α = 109.81°, β = 109.81°, γ = 18.69°
Closest atoms and distances in Å follow each position.
Fractional positions:
K 0.0509 0.0509 0.2998  2 K 2.95
K 0.9491 0.9491 0.7002  2 K 2.95
Ta 0.2662 0.2662 0.3357  7 Ta 2.70-2.95
Ta 0.3236 0.3236 0.0119  7 Ta 2.70-2.98
Ta 0.6764 0.6764 0.9881  7 Ta 2.70-2.98
Ta 0.7338 0.7338 0.6643  7 Ta 2.70-2.95

Calculated values
ΔE_f ... 878 meV/atom
Space-group type ... C2/m (12)
Excess energy over the best structure of this formula in the dataset ... 0.99 eV per formula unit
Mass density ... 7.98 Mg/m³
DOS at the Fermi energy ... 0.666 states/eV/atom

***

VASP calculation (GGA-PBE) on NaCoIrRh2 after structural relaxation.

a = 4.4003 Å, b = 4.4003 Å, c = 4.1787 Å
α = 90.00°, β = 90.00°, γ = 90.00°
Closest atoms and distances in Å follow each position.
Fractional positions:
Na 0.0000 0.0000 0.0000  2 Co 2.09, 4 Rh 2.20
Co 0.0000 0.0000 0.5000  2 Na 2.09
Ir 0.5000 0.5000 0.5000  8 Rh 3.03, 4 Co 3.11
Rh 0.0000 0.5000 0.0000  2 Na 2.20
Rh 0.5000 0.0000 0.0000  2 Na 2.20

Calculated values
ΔE_f ... 1917 meV/atom
Space-group type ... P4/mmm (123)
Mass density ... 9.85 Mg/m³
DOS at the Fermi energy ... 1.500 states/eV/atom

***

VASP calculation (GGA-PBE) on Cu2TeSe after structural relaxation.

a = 6.4943 Å, b = 6.4943 Å, c = 6.4943 Å
α = 33.69°, β = 33.69°, γ = 33.69°
Closest atoms and distances in Å follow each position.
Fractional positions:
Cu 0.2427 0.2427 0.2427  3 Se 2.58, 3 Te 2.74
Cu 0.7573 0.7573 0.7573  3 Se 2.58, 3 Te 2.74
Te 0.0000 0.0000 0.0000  6 Cu 2.74
Se 0.5000 0.5000 0.5000  6 Cu 2.58

Calculated values
Space-group type ... R-3m (166)
ΔE_f (raw) ... -0.02 eV per atom
Excess energy over the best structure of this formula in the dataset ... 0.26 eV per formula unit
Mass density ... 7.38 Mg/m³
DOS at the Fermi energy ... 0.633 states/eV/atom

***

VASP calculation (GGA-PBE) on PaSe2I after structural relaxation.

a = 8.3323 Å, b = 8.3323 Å, c = 11.7036 Å
α = 119.78°, β = 119.78°, γ = 29.17°
Closest atoms and distances in Å follow each position.
Fractional positions:
Pa 0.1354 0.1354 0.3307  5 Se 2.72-2.87, 1 I 2.90
Pa 0.8646 0.8646 0.6693  5 Se 2.72-2.87, 1 I 2.90
Se 0.3426 0.3426 0.4901  3 Pa 2.86-2.87
Se 0.3645 0.3645 0.8175  2 Pa 2.72
Se 0.6355 0.6355 0.1825  2 Pa 2.72
Se 0.6574 0.6574 0.5099  3 Pa 2.86-2.87
I 0.0717 0.0717 0.7784  1 Pa 2.90
I 0.9283 0.9283 0.2216  1 Pa 2.90

Calculated values
Space-group type ... C2/m (12)
ΔE_f (raw) ... -1.17 eV per atom
Excess energy over the best structure of this formula in the dataset ... 0.00 eV per formula unit
Mass density ... 5.04 Mg/m³